(1)
## Y2ErAu3 (PBE)

Data for a relaxed Y2ErAu3 crystal.

Cell lengths 3.5738, 3.5738, 10.8920 Å; angles 90.00, 90.00, 90.00 degrees
Atoms (fractional coordinates):
Y1 0.0000 0.0000 0.1679
Y2 0.0000 0.0000 0.8321
Er1 0.0000 0.0000 0.5000
Au1 0.5000 0.5000 0.0000
Au2 0.5000 0.5000 0.3379
Au3 0.5000 0.5000 0.6621

- DOS at the Fermi energy: 0.315 states/eV/atom
- Calculated formation energy: -0.8717 eV/atom
- Total magnetization: 0.0000 μB/atom
- Space group: No. 123
- Calculated density: 11.17 g/cm3

***

(2)
## Y2Er3Au2 (PBE)

Data for a relaxed Y2Er3Au2 crystal.

Cell lengths 6.5592, 6.5592, 9.1116 Å; angles 114.82, 114.82, 32.86 degrees
Atoms (fractional coordinates):
Y1 0.1501 0.1501 0.3113
Y2 0.8499 0.8499 0.6887
Er1 0.3859 0.3859 0.0559
Er2 0.5000 0.5000 0.5000
Er3 0.6141 0.6141 0.9441
Au1 0.1703 0.1703 0.7306
Au2 0.8297 0.8297 0.2694

- DOS at the Fermi energy: 1.462 states/eV/atom
- Calculated formation energy: -0.5202 eV/atom
- Total magnetization: 0.0097 μB/atom
- Space group: No. 12
- Calculated density: 9.32 g/cm3

***

(3)
## YEr3Au2 (PBE)

Data for a relaxed YEr3Au2 crystal.

Cell lengths 4.9268, 8.8756, 7.1006 Å; angles 90.00, 90.00, 90.00 degrees
Atoms (fractional coordinates):
Y1 0.0000 0.0725 0.0000
Y2 0.0000 0.9275 0.5000
Er1 0.0000 0.3309 0.6345
Er2 0.0000 0.6691 0.1345
Er3 0.5000 0.1715 0.3374
Er4 0.5000 0.4264 0.9714
Er5 0.5000 0.5736 0.4714
Er6 0.5000 0.8285 0.8374
Au1 0.0000 0.3504 0.2302
Au2 0.0000 0.6496 0.7302
Au3 0.5000 0.1516 0.7416
Au4 0.5000 0.8484 0.2416

- DOS at the Fermi energy: 0.977 states/eV/atom
- Calculated formation energy: -0.6584 eV/atom
- Total magnetization: 0.0000 μB/atom
- Offset from the most stable computed form: 0 meV/atom
- Space group: No. 26
- Calculated density: 10.53 g/cm3

***

(4)
## Y2Er2Au3 (PBE)

Data for a relaxed Y2Er2Au3 crystal.

Cell lengths 5.0039, 5.0062, 8.7730 Å; angles 73.51, 89.85, 60.02 degrees
Atoms (fractional coordinates):
Y1 0.1248 0.2508 0.3744
Y2 0.8752 0.7492 0.6256
Er1 0.3747 0.7509 0.1241
Er2 0.6253 0.2491 0.8759
Au1 0.0000 0.5000 0.0000
Au2 0.2455 0.0084 0.7374
Au3 0.7545 0.9916 0.2626

- DOS at the Fermi energy: 0.751 states/eV/atom
- Calculated formation energy: -0.6981 eV/atom
- Total magnetization: 0.0000 μB/atom
- Space group: No. 2
- Calculated density: 10.18 g/cm3

***

(5)
## Y3Er4Au4 (PBE)

Data for a relaxed Y3Er4Au4 crystal.

Cell lengths 8.9950, 8.9950, 8.9950 Å; angles 149.05, 129.31, 60.59 degrees
Atoms (fractional coordinates):
Y1 0.0000 0.0000 0.0000
Y2 0.3959 0.8959 0.5000
Y3 0.6041 0.1041 0.5000
Er1 0.0399 0.3274 0.7125
Er2 0.3851 0.6726 0.7125
Er3 0.6149 0.3274 0.2875
Er4 0.9601 0.6726 0.2875
Au1 0.2067 0.2067 0.0000
Au2 0.3122 0.5000 0.8122
Au3 0.6878 0.5000 0.1878
Au4 0.7933 0.7933 0.0000

- DOS at the Fermi energy: 0.827 states/eV/atom
- Calculated formation energy: -0.5884 eV/atom
- Total magnetization: 0.0000 μB/atom
- Space group: No. 71
- Calculated density: 9.97 g/cm3

***

(6)
## YErAu2 (PBE)

Data for a relaxed YErAu2 crystal.

Cell lengths 5.0780, 5.0780, 5.0780 Å; angles 60.00, 60.00, 60.00 degrees
Atoms (fractional coordinates):
Y1 0.0000 0.0000 0.0000
Er1 0.5000 0.5000 0.5000
Au1 0.2500 0.2500 0.2500
Au2 0.7500 0.7500 0.7500

- DOS at the Fermi energy: 0.652 states/eV/atom
- Calculated formation energy: -0.8634 eV/atom
- Total magnetization: 0.0000 μB/atom
- Offset from the most stable computed form: 25 meV/atom
- Space group: No. 225
- Calculated density: 11.66 g/cm3

***

(7)
## YErAu2 (PBE)

Data for a relaxed YErAu2 crystal.

Cell lengths 7.8539, 7.8539, 7.8539 Å; angles 29.41, 29.41, 29.41 degrees
Atoms (fractional coordinates):
Y1 0.0000 0.0000 0.0000
Er1 0.1689 0.1689 0.1689
Au1 0.5832 0.5832 0.5832
Au2 0.7518 0.7518 0.7518

- DOS at the Fermi energy: 0.735 states/eV/atom
- Calculated formation energy: -0.7316 eV/atom
- Total magnetization: 0.0000 μB/atom
- Offset from the most stable computed form: 157 meV/atom
- Space group: No. 160
- Calculated density: 10.44 g/cm3

***

(8)
## Y2ErAu (PBE)

Data for a relaxed Y2ErAu crystal.

Cell lengths 6.9564, 9.7333, 6.6798 Å; angles 90.00, 90.00, 90.00 degrees
Atoms (fractional coordinates):
Y1 0.1978 0.0549 0.1959
Y2 0.1978 0.4451 0.1959
Y3 0.3022 0.5549 0.6959
Y4 0.3022 0.9451 0.6959
Y5 0.6978 0.0549 0.3041
Y6 0.6978 0.4451 0.3041
Y7 0.8022 0.5549 0.8041
Y8 0.8022 0.9451 0.8041
Er1 0.0165 0.2500 0.6174
Er2 0.4835 0.7500 0.1174
Er3 0.5165 0.2500 0.8826
Er4 0.9835 0.7500 0.3826
Au1 0.0863 0.7500 0.9665
Au2 0.4137 0.2500 0.4665
Au3 0.5863 0.7500 0.5335
Au4 0.9137 0.2500 0.0335

- DOS at the Fermi energy: 0.916 states/eV/atom
- Calculated formation energy: -0.4598 eV/atom
- Total magnetization: 0.0000 μB/atom
- Offset from the most stable computed form: 0 meV/atom
- Space group: No. 62
- Calculated density: 7.96 g/cm3

***

(9)
## YEr2Au (PBE)

Data for a relaxed YEr2Au crystal.

Cell lengths 6.3213, 6.3213, 7.9451 Å; angles 90.00, 90.00, 134.95 degrees
Atoms (fractional coordinates):
Y1 0.0460 0.9540 0.7500
Y2 0.9540 0.0460 0.2500
Er1 0.3546 0.6454 0.5401
Er2 0.3546 0.6454 0.9599
Er3 0.6454 0.3546 0.0401
Er4 0.6454 0.3546 0.4599
Au1 0.2101 0.7899 0.2500
Au2 0.7899 0.2101 0.7500

- DOS at the Fermi energy: 1.198 states/eV/atom
- Calculated formation energy: -0.4260 eV/atom
- Total magnetization: 0.0002 μB/atom
- Offset from the most stable computed form: 36 meV/atom
- Space group: No. 63
- Calculated density: 9.17 g/cm3

***

(10)
## Y2ErAu6 (PBE)

Data for a relaxed Y2ErAu6 crystal.

Cell lengths 8.4800, 8.4800, 5.2351 Å; angles 98.79, 98.79, 143.91 degrees
Atoms (fractional coordinates):
Y1 0.1651 0.8349 0.0000
Y2 0.8349 0.1651 0.0000
Er1 0.5000 0.5000 0.5000
Au1 0.1572 0.1572 0.8271
Au2 0.1716 0.5013 0.6667
Au3 0.4987 0.8284 0.3333
Au4 0.5013 0.1716 0.6667
Au5 0.8284 0.4987 0.3333
Au6 0.8428 0.8428 0.1729

- DOS at the Fermi energy: 0.522 states/eV/atom
- Calculated formation energy: -0.7987 eV/atom
- Total magnetization: 0.0000 μB/atom
- Space group: No. 12
- Calculated density: 13.15 g/cm3

***

(11)
## YEr3Au4 (PBE)

Data for a relaxed YEr3Au4 crystal.

Cell lengths 8.8000, 8.8000, 8.8000 Å; angles 33.37, 33.37, 33.37 degrees
Atoms (fractional coordinates):
Y1 0.0000 0.0000 0.0000
Er1 0.2498 0.2498 0.2498
Er2 0.5000 0.5000 0.5000
Er3 0.7502 0.7502 0.7502
Au1 0.1261 0.1261 0.1261
Au2 0.3763 0.3763 0.3763
Au3 0.6237 0.6237 0.6237
Au4 0.8739 0.8739 0.8739

- DOS at the Fermi energy: 0.370 states/eV/atom
- Calculated formation energy: -0.8747 eV/atom
- Total magnetization: 0.0000 μB/atom
- Space group: No. 166
- Calculated density: 12.47 g/cm3

***

(12)
## YEr2Au (PBE)

Data for a relaxed YEr2Au crystal.

Cell lengths 9.9638, 9.9638, 9.9638 Å; angles 21.53, 21.53, 21.53 degrees
Atoms (fractional coordinates):
Y1 0.0000 0.0000 0.0000
Er1 0.5678 0.5678 0.5678
Er2 0.7636 0.7636 0.7636
Au1 0.1651 0.1651 0.1651

- DOS at the Fermi energy: 1.129 states/eV/atom
- Calculated formation energy: -0.3033 eV/atom
- Total magnetization: 0.1460 μB/atom
- Offset from the most stable computed form: 159 meV/atom
- Space group: No. 160
- Calculated density: 8.82 g/cm3